Record 1
## LaZnBr2 (PBE-GGA)

Data for crystalline LaZnBr2 at its relaxed geometry.

Cell lengths 4.4050, 4.4050, 10.8848 Å; angles 90.00, 90.00, 90.00 degrees
Closest atoms and distances in Å follow each position.
Space group I-4m2 (No. 119)
One atom of each set of equivalent atoms:
La (0.0000, 0.0000, 0.0000)  4 Br 3.11
Zn (0.0000, 0.5000, 0.7500)  4 Br 3.11
Br (0.0000, 0.0000, 0.5000)  4 La 3.11
Br (0.0000, 0.5000, 0.2500)  4 Zn 3.11

Computed properties:
- formation energy without anion corrections (eV per atom) = -0.9429
- E above lowest polymorph (meV/atom) = 155.6
- energy (eV per cell) = -26.6

Record 2
## KErAgCl6 (PBE-GGA)

Data for crystalline KErAgCl6 at its relaxed geometry.

Cell lengths 7.1610, 11.3993, 6.9996 Å; angles 90.00, 93.75, 90.00 degrees
Closest atoms and distances in Å follow each position.
Space group C2 (No. 5)
One atom of each set of equivalent atoms:
K (0.0000, 0.0000, 0.0000)  6 Cl 3.15-3.27
Er (0.0000, 0.6684, 0.5000)  6 Cl 2.54-2.69
Ag (0.0000, 0.3241, 0.5000)  4 Cl 2.50-2.52
Cl (0.1212, 0.4853, 0.7171)  1 Ag 2.50, 1 Er 2.69
Cl (0.1673, 0.8029, 0.7455)  1 Er 2.54
Cl (0.1867, 0.1712, 0.6890)  1 Ag 2.52, 1 Er 2.68

Computed properties:
- formation energy without anion corrections (eV per atom) = -1.5674
- energy (eV per cell) = -67.4

Record 3
## Ba2AlGe (PBE-GGA)

Data for crystalline Ba2AlGe at its relaxed geometry.

Cell lengths 9.2604, 9.2604, 6.9442 Å; angles 90.00, 90.00, 90.00 degrees
Closest atoms and distances in Å follow each position.
Space group I-42d (No. 122)
One atom of each set of equivalent atoms:
Ba (0.2235, 0.2500, 0.1250)  2 Ge 3.22, 2 Ba 3.51, 2 Al 3.56
Al (0.0000, 0.0000, 0.5000)  2 Ge 3.47, 4 Ba 3.56
Ge (0.0000, 0.0000, 0.0000)  4 Ba 3.22, 2 Al 3.47

Computed properties:
- ΔH_f (0 K) (eV/f.u.) = 0.6
- energy (eV per cell) = -46.4